Computed, not measured: an optimized crystal structure of PuTh2PtRh5 at the PBE-GGA level of DFT.

energy of formation from the pure elements = -7.698 kcal/mol of atoms
size of the total moment = 0.59 μB/atom
calculated density = 12.40 g/cm3

```
data_PuTh2PtRh5
_symmetry_space_group_name_H-M 'I 4/m c m'
_symmetry_Int_Tables_number 140
_symmetry_space_group_name_Hall '-I 4 2c'
_cell_length_a 8.531
_cell_length_b 8.531
_cell_length_c 10.440
_cell_angle_alpha 90.00
_cell_angle_beta 90.00
_cell_angle_gamma 90.00
loop_
_atom_site_label
_atom_site_fract_x
_atom_site_fract_y
_atom_site_fract_z
Pu1 0.000 0.000 0.250
Th1 0.137 0.363 0.000
Pt1 0.000 0.500 0.250
Rh1 0.000 0.000 0.000
Rh2 0.190 0.310 0.363
```

---

Computed, not measured: an optimized crystal structure of YPuPtRh at the PBE-GGA level of DFT.

energy above the most stable polymorph in this dataset = 0.071 eV/atom
energy of formation from the pure elements = -17.635 kcal/mol of atoms
size of the total moment = 1.34 μB/atom
calculated density = 12.52 g/cm3

```
data_YPuPtRh
_symmetry_space_group_name_H-M 'F -4 3 m'
_symmetry_Int_Tables_number 216
_symmetry_space_group_name_Hall 'F -4 2 3'
_cell_length_a 6.944
_cell_length_b 6.944
_cell_length_c 6.944
_cell_angle_alpha 90.00
_cell_angle_beta 90.00
_cell_angle_gamma 90.00
loop_
_atom_site_label
_atom_site_fract_x
_atom_site_fract_y
_atom_site_fract_z
Y1 0.000 0.000 0.000
Pu1 0.000 0.000 0.500
Pt1 0.250 0.250 0.750
Rh1 0.250 0.250 0.250
```

---

Computed, not measured: an optimized crystal structure of YPuPtRh at the PBE-GGA level of DFT.

energy above the most stable polymorph in this dataset = 0.000 eV/atom
energy of formation from the pure elements = -19.277 kcal/mol of atoms
size of the total moment = 1.30 μB/atom
calculated density = 11.97 g/cm3

```
data_YPuPtRh
_symmetry_space_group_name_H-M 'A m m 2'
_symmetry_Int_Tables_number 38
_cell_length_a 4.210
_cell_length_b 3.792
_cell_length_c 10.961
_cell_angle_alpha 90.00
_cell_angle_beta 90.00
_cell_angle_gamma 90.00
loop_
_symmetry_equiv_pos_as_xyz
'x,y,z'
'-x,-y,z'
'-x,y,z'
'x,-y,z'
'x,y+1/2,z+1/2'
'-x,-y+1/2,z+1/2'
'-x,y+1/2,z+1/2'
'x,-y+1/2,z+1/2'
loop_
_atom_site_label
_atom_site_fract_x
_atom_site_fract_y
_atom_site_fract_z
Y1 0.000 0.000 0.000
Pu1 0.500 0.000 0.720
Pt1 0.500 0.000 0.444
Rh1 0.000 0.000 0.263
```

---

Computed, not measured: an optimized crystal structure of PuRuPt2 at the PBE-GGA level of DFT.

energy of formation from the pure elements = -11.175 kcal/mol of atoms
size of the total moment = 0.72 μB/atom
calculated density = 17.75 g/cm3

```
data_PuRuPt2
_symmetry_space_group_name_H-M 'P 4/m m m'
_symmetry_Int_Tables_number 123
_symmetry_space_group_name_Hall '-P 4 2'
_cell_length_a 3.991
_cell_length_b 3.991
_cell_length_c 4.320
_cell_angle_alpha 90.00
_cell_angle_beta 90.00
_cell_angle_gamma 90.00
loop_
_atom_site_label
_atom_site_fract_x
_atom_site_fract_y
_atom_site_fract_z
Pu1 0.000 0.000 0.000
Ru1 0.500 0.500 0.000
Pt1 0.000 0.500 0.500
```

---

Please write out number 2 again, unchanged.
Computed, not measured: an optimized crystal structure of YPuPtRh at the PBE-GGA level of DFT.

energy above the most stable polymorph in this dataset = 0.071 eV/atom
energy of formation from the pure elements = -17.635 kcal/mol of atoms
size of the total moment = 1.34 μB/atom
calculated density = 12.52 g/cm3

```
data_YPuPtRh
_symmetry_space_group_name_H-M 'F -4 3 m'
_symmetry_Int_Tables_number 216
_symmetry_space_group_name_Hall 'F -4 2 3'
_cell_length_a 6.944
_cell_length_b 6.944
_cell_length_c 6.944
_cell_angle_alpha 90.00
_cell_angle_beta 90.00
_cell_angle_gamma 90.00
loop_
_atom_site_label
_atom_site_fract_x
_atom_site_fract_y
_atom_site_fract_z
Y1 0.000 0.000 0.000
Pu1 0.000 0.000 0.500
Pt1 0.250 0.250 0.750
Rh1 0.250 0.250 0.250
```

---

What is the formula in the fourth record?
PuRuPt2

---

What is the formula in the fourth record?
PuRuPt2

---

Among the records above, which one has the lowest energy of formation from the pure elements?
number 3